# TmB4Rh | the Alexandria database | GGA-PBEsol | optimized geometry
data_TmB4Rh
_chemical_formula_sum 'Tm4 B16 Rh4'
_cell_length_a 5.8929
_cell_length_b 11.4215
_cell_length_c 3.4800
_cell_angle_alpha 90.00
_cell_angle_beta 90.00
_cell_angle_gamma 90.00
_space_group_name_H-M_alt 'P b a m'
_space_group_IT_number 55
loop_
_space_group_symop_operation_xyz
'x,y,z'
'-x,-y,-z'
'-x,-y,z'
'x,y,-z'
'x+1/2,-y+1/2,-z'
'-x+1/2,y+1/2,z'
'-x+1/2,y+1/2,-z'
'x+1/2,-y+1/2,z'
loop_
_atom_site_label
_atom_site_fract_x
_atom_site_fract_y
_atom_site_fract_z
Tm1 0.1313 0.1488 0.0000
B1 0.0223 0.6934 0.5000
B2 0.1130 0.5473 0.5000
B3 0.1350 0.9690 0.5000
B4 0.2085 0.8128 0.5000
Rh1 0.1415 0.4057 0.0000
# - DOS(E_F): 5.82 states/eV per cell
# - Total DFT energy (no corrections): -181.3 eV for the cell shown
# - Crystal system: orthorhombic

# B3RhW | the Alexandria database | GGA-PBEsol | optimized geometry
data_B3RhW
_chemical_formula_sum 'B3 Rh1 W1'
_cell_length_a 4.0494
_cell_length_b 4.0494
_cell_length_c 4.0494
_cell_angle_alpha 90.00
_cell_angle_beta 90.00
_cell_angle_gamma 90.00
_space_group_name_H-M_alt 'P m -3 m'
_space_group_IT_number 221
_space_group_name_Hall '-P 4 2 3'
loop_
_atom_site_label
_atom_site_fract_x
_atom_site_fract_y
_atom_site_fract_z
B1 0.0000 0.0000 0.5000
Rh1 0.5000 0.5000 0.5000
W1 0.0000 0.0000 0.0000
# - DOS(E_F): 3.23 states/eV per cell
# - Total DFT energy (no corrections): -34.9 eV for the cell shown
# - Crystal system: cubic

# BRhW3 | the Alexandria database | GGA-PBEsol | optimized geometry
data_BRhW3
_chemical_formula_sum 'B1 Rh1 W3'
_cell_length_a 4.1242
_cell_length_b 4.1242
_cell_length_c 4.1242
_cell_angle_alpha 90.00
_cell_angle_beta 90.00
_cell_angle_gamma 90.00
_space_group_name_H-M_alt 'P m -3 m'
_space_group_IT_number 221
_space_group_name_Hall '-P 4 2 3'
loop_
_atom_site_label
_atom_site_fract_x
_atom_site_fract_y
_atom_site_fract_z
B1 0.0000 0.0000 0.0000
Rh1 0.5000 0.5000 0.5000
W1 0.0000 0.0000 0.5000
# - DOS(E_F): 3.51 states/eV per cell
# - Total DFT energy (no corrections): -55.5 eV for the cell shown
# - Crystal system: cubic

# YB4Rh | the Alexandria database | GGA-PBEsol | optimized geometry
data_YB4Rh
_chemical_formula_sum 'Y4 B16 Rh4'
_cell_length_a 5.9291
_cell_length_b 11.4934
_cell_length_c 3.5094
_cell_angle_alpha 90.00
_cell_angle_beta 90.00
_cell_angle_gamma 90.00
_space_group_name_H-M_alt 'P b a m'
_space_group_IT_number 55
loop_
_space_group_symop_operation_xyz
'x,y,z'
'-x,-y,-z'
'-x,-y,z'
'x,y,-z'
'x+1/2,-y+1/2,-z'
'-x+1/2,y+1/2,z'
'-x+1/2,y+1/2,-z'
'x+1/2,-y+1/2,z'
loop_
_atom_site_label
_atom_site_fract_x
_atom_site_fract_y
_atom_site_fract_z
Y1 0.1308 0.1488 0.0000
B1 0.0229 0.6926 0.5000
B2 0.1123 0.5468 0.5000
B3 0.1360 0.9687 0.5000
B4 0.2104 0.8131 0.5000
Rh1 0.1407 0.4061 0.0000
# - DOS(E_F): 5.98 states/eV per cell
# - Total DFT energy (no corrections): -188.5 eV for the cell shown
# - Crystal system: orthorhombic